Sm2ScAl3: optimized geometry, PBE.

a b c (Å): 5.876 5.876 9.226
angles (deg): 90.00 90.00 120.00
Positions (direct):
Sm  0.667  0.333  0.438
Sm  0.333  0.667  0.562
Sm  0.333  0.667  0.938
Sm  0.667  0.333  0.062
Sc  0.000  0.000  0.500
Sc  0.000  0.000  0.000
Al  0.174  0.348  0.250
Al  0.348  0.174  0.750
Al  0.826  0.652  0.750
Al  0.174  0.826  0.250
Al  0.826  0.174  0.750
Al  0.652  0.826  0.250

Output
total moment	0.0	μB per cell
ΔE to the lowest computed polymorph	0.000	eV per atom
V	275.9	Å³/cell
ΔE_f	-0.43	eV per atom
calculated total energy	-4.933	eV per atom